# 1
## WC2N (GGA-PBE)

Data for an optimized crystal structure of WC2N. Values from VASP.

Values from the calculation:
Density of states at the Fermi level (states/eV per atom): 0.28
Total energy (eV per atom): -8.582

Cell and atoms, written as Quantum ESPRESSO input:
```
&SYSTEM
  ibrav = 0, nat = 8, ntyp = 3
/
ATOMIC_SPECIES
C 12.01 C.upf
W 183.84 W.upf
N 14.01 N.upf
ATOMIC_POSITIONS crystal
C 0.5209 0.1250 0.2500
C 0.8750 0.7709 0.7500
C 0.3750 0.4791 0.7500
C 0.2291 0.6250 0.2500
W 0.0000 0.0000 0.0000
W 0.7500 0.2500 0.5000
N 0.2500 0.7500 0.5000
N 0.5000 0.5000 0.0000
CELL_PARAMETERS angstrom
-3.6539 2.6437 -1.1444
-1.4439 -3.2802 -2.9675
-4.2743 -1.6853 0.2947
```


# 2
## WC6N4 (GGA-PBE)

Data for an optimized crystal structure of WC6N4. Values from VASP.

Values from the calculation:
Density of states at the Fermi level (states/eV per atom): 0.08
Total energy (eV per atom): -8.498

Cell and atoms, written as Quantum ESPRESSO input:
```
&SYSTEM
  ibrav = 0, nat = 22, ntyp = 3
/
ATOMIC_SPECIES
C 12.01 C.upf
N 14.01 N.upf
W 183.84 W.upf
ATOMIC_POSITIONS crystal
C 0.2500 0.6582 0.6981
C 0.0762 0.5930 0.2540
C 0.2500 0.9976 0.7608
C 0.8940 0.0528 0.7748
C 0.6060 0.0528 0.7748
C 0.5762 0.4070 0.7460
C 0.1060 0.9472 0.2252
C 0.7500 0.0024 0.2392
C 0.4238 0.5930 0.2540
C 0.7500 0.3418 0.3019
C 0.3940 0.9472 0.2252
C 0.9238 0.4070 0.7460
N 0.2500 0.3361 0.6729
N 0.7500 0.6639 0.3271
N 0.4411 0.2672 0.2706
N 0.0589 0.2672 0.2706
N 0.9411 0.7328 0.7294
N 0.7500 0.5948 0.9433
N 0.5589 0.7328 0.7294
N 0.2500 0.4052 0.0567
W 0.7500 0.0993 0.9352
W 0.2500 0.9007 0.0648
CELL_PARAMETERS angstrom
-7.5098 -8.8009 3.7608
0.5249 -1.8100 -3.1875
5.5604 -3.7037 2.4363
```


# 3
## W2CN (GGA-PBE)

Data for an optimized crystal structure of W2CN. Values from VASP.

Values from the calculation:
Density of states at the Fermi level (states/eV per atom): 1.00
Excess energy over the best structure of this formula in the dataset (eV/atom): 0.000

Cell and atoms, written as Quantum ESPRESSO input:
```
&SYSTEM
  ibrav = 0, nat = 8, ntyp = 3
/
ATOMIC_SPECIES
W 183.84 W.upf
N 14.01 N.upf
C 12.01 C.upf
ATOMIC_POSITIONS crystal
W 0.8750 0.8787 0.7500
W 0.3750 0.3713 0.7500
W 0.1213 0.6250 0.2500
W 0.6287 0.1250 0.2500
N 0.7500 0.2500 0.5000
N 0.0000 0.0000 0.0000
C 0.5000 0.5000 0.0000
C 0.2500 0.7500 0.5000
CELL_PARAMETERS angstrom
4.6889 0.0000 0.0000
0.0000 4.6889 0.0000
2.3444 2.3444 4.6890
```


# 4
## W2CN (GGA-PBE)

Data for an optimized crystal structure of W2CN. Values from VASP.

Values from the calculation:
Density of states at the Fermi level (states/eV per atom): 0.82
Excess energy over the best structure of this formula in the dataset (eV/atom): 0.315

Cell and atoms, written as Quantum ESPRESSO input:
```
&SYSTEM
  ibrav = 0, nat = 4, ntyp = 3
/
ATOMIC_SPECIES
C 12.01 C.upf
N 14.01 N.upf
W 183.84 W.upf
ATOMIC_POSITIONS crystal
C 0.0000 0.0000 0.0000
N 0.5000 0.5000 0.5000
W 0.2500 0.2500 0.2500
W 0.7500 0.7500 0.7500
CELL_PARAMETERS angstrom
0.0000 2.7256 2.7256
2.7256 0.0000 2.7256
2.7256 2.7256 0.0000
```


# 5
## YW2CN (GGA-PBE)

Data for an optimized crystal structure of YW2CN. Values from VASP.

Values from the calculation:
Density of states at the Fermi level (states/eV per atom): 0.59
Total energy (eV per atom): -9.111

Cell and atoms, written as Quantum ESPRESSO input:
```
&SYSTEM
  ibrav = 0, nat = 5, ntyp = 4
/
ATOMIC_SPECIES
W 183.84 W.upf
C 12.01 C.upf
N 14.01 N.upf
Y 88.91 Y.upf
ATOMIC_POSITIONS crystal
W 0.0000 0.0000 0.5000
W 0.5000 0.0000 0.0000
C 0.0000 0.0000 0.0000
N 0.5000 0.5000 0.5000
Y 0.0000 0.5000 0.0000
CELL_PARAMETERS angstrom
-2.7714 0.9263 -2.7323
-2.8968 -3.8938 1.6183
-1.7866 2.4238 2.6339
```


# 6
## ZrW2CN (GGA-PBE)

Data for an optimized crystal structure of ZrW2CN. Values from VASP.

Values from the calculation:
Density of states at the Fermi level (states/eV per atom): 0.74
Excess energy over the best structure of this formula in the dataset (eV/atom): 0.000

Cell and atoms, written as Quantum ESPRESSO input:
```
&SYSTEM
  ibrav = 0, nat = 5, ntyp = 4
/
ATOMIC_SPECIES
Zr 91.22 Zr.upf
W 183.84 W.upf
N 14.01 N.upf
C 12.01 C.upf
ATOMIC_POSITIONS crystal
Zr 0.0000 0.5000 0.0000
W 0.0000 0.0000 0.5000
W 0.5000 0.0000 0.0000
N 0.5000 0.5000 0.5000
C 0.0000 0.0000 0.0000
CELL_PARAMETERS angstrom
3.9919 0.0000 0.0000
0.0000 4.7540 0.0000
0.0000 0.0000 3.9919
```


# 7
## ZrW2CN (GGA-PBE)

Data for an optimized crystal structure of ZrW2CN. Values from VASP.

Values from the calculation:
Density of states at the Fermi level (states/eV per atom): 1.39
Excess energy over the best structure of this formula in the dataset (eV/atom): 2.723

Cell and atoms, written as Quantum ESPRESSO input:
```
&SYSTEM
  ibrav = 0, nat = 5, ntyp = 4
/
ATOMIC_SPECIES
C 12.01 C.upf
Zr 91.22 Zr.upf
W 183.84 W.upf
N 14.01 N.upf
ATOMIC_POSITIONS crystal
C 0.0000 0.5000 0.0000
Zr 0.0000 0.0000 0.0000
W 0.5000 0.0000 0.0000
W 0.0000 0.0000 0.5000
N 0.5000 0.5000 0.5000
CELL_PARAMETERS angstrom
-2.7025 -2.9210 2.9048
1.4497 -3.2130 -1.8823
3.7116 -0.2192 3.2327
```


# 8
## YCN (GGA-PBE)

Data for an optimized crystal structure of YCN. Values from VASP.

Values from the calculation:
Density of states at the Fermi level (states/eV per atom): 0.52
Total energy (eV per atom): -8.482

Cell and atoms, written as Quantum ESPRESSO input:
```
&SYSTEM
  ibrav = 0, nat = 12, ntyp = 3
/
ATOMIC_SPECIES
Y 88.91 Y.upf
C 12.01 C.upf
N 14.01 N.upf
ATOMIC_POSITIONS crystal
Y 0.2500 0.7370 0.6268
Y 0.7500 0.2630 0.3732
Y 0.2500 0.7630 0.1268
Y 0.7500 0.2370 0.8732
C 0.7500 0.3838 0.1231
C 0.7500 0.1162 0.6231
C 0.2500 0.8838 0.3769
C 0.2500 0.6162 0.8769
N 0.7500 0.4019 0.6211
N 0.2500 0.9019 0.8789
N 0.2500 0.5981 0.3789
N 0.7500 0.0981 0.1211
CELL_PARAMETERS angstrom
3.7227 0.0000 0.0000
0.0000 4.5617 0.0000
0.0000 0.0000 9.8639
```


# 9
## YCN3 (GGA-PBE)

Data for an optimized crystal structure of YCN3. Values from VASP.

Values from the calculation:
Density of states at the Fermi level (states/eV per atom): 0.39
Total energy (eV per atom): -5.367

Cell and atoms, written as Quantum ESPRESSO input:
```
&SYSTEM
  ibrav = 0, nat = 5, ntyp = 3
/
ATOMIC_SPECIES
N 14.01 N.upf
C 12.01 C.upf
Y 88.91 Y.upf
ATOMIC_POSITIONS crystal
N 0.0000 0.5000 0.0000
N 0.0000 0.0000 0.5000
N 0.5000 0.0000 0.0000
C 0.5000 0.5000 0.5000
Y 0.0000 0.0000 0.0000
CELL_PARAMETERS angstrom
-4.2197 1.3218 0.7908
-1.1002 -4.2005 1.1507
1.0781 0.8872 4.2695
```


# 10
## Y4CN (GGA-PBE)

Data for an optimized crystal structure of Y4CN. Values from VASP.

Values from the calculation:
Density of states at the Fermi level (states/eV per atom): 0.98
Total energy (eV per atom): -7.928

Cell and atoms, written as Quantum ESPRESSO input:
```
&SYSTEM
  ibrav = 0, nat = 12, ntyp = 3
/
ATOMIC_SPECIES
Y 88.91 Y.upf
N 14.01 N.upf
C 12.01 C.upf
ATOMIC_POSITIONS crystal
Y 0.2564 0.2430 0.9860
Y 0.2571 0.2400 0.5142
Y 0.7429 0.7600 0.4858
Y 0.7436 0.7570 0.0140
Y 0.2571 0.7743 0.5142
Y 0.7296 0.2430 0.9860
Y 0.7429 0.2257 0.4858
Y 0.2704 0.7570 0.0140
N 0.5000 0.0000 0.5000
N 0.0000 0.0000 0.5000
C 0.5000 0.0000 0.0000
C 0.5000 0.5000 0.0000
CELL_PARAMETERS angstrom
-1.7472 6.5359 -2.3923
-5.7669 -2.7753 -3.3703
0.9550 -1.1074 7.0394
```


# 11
## Y3CN2 (GGA-PBE)

Data for an optimized crystal structure of Y3CN2. Values from VASP.

Values from the calculation:
Density of states at the Fermi level (states/eV per atom): 0.41
Total energy (eV per atom): -8.634

Cell and atoms, written as Quantum ESPRESSO input:
```
&SYSTEM
  ibrav = 0, nat = 6, ntyp = 3
/
ATOMIC_SPECIES
N 14.01 N.upf
Y 88.91 Y.upf
C 12.01 C.upf
ATOMIC_POSITIONS crystal
N 0.8322 0.3322 0.6645
N 0.1678 0.6678 0.3355
Y 0.8271 0.8271 0.6541
Y 0.1729 0.1729 0.3459
Y 0.5000 0.5000 0.0000
C 0.5000 0.0000 0.0000
CELL_PARAMETERS angstrom
3.2258 -0.0003 -1.3462
-0.9632 4.2978 -2.3089
0.6391 0.5266 6.0691
```


# 12
## YCN3 (GGA-PBE)

Data for an optimized crystal structure of YCN3. Values from VASP.

Values from the calculation:
Density of states at the Fermi level (states/eV per atom): 0.21
Total energy (eV per atom): -8.322

Cell and atoms, written as Quantum ESPRESSO input:
```
&SYSTEM
  ibrav = 0, nat = 10, ntyp = 3
/
ATOMIC_SPECIES
N 14.01 N.upf
Y 88.91 Y.upf
C 12.01 C.upf
ATOMIC_POSITIONS crystal
N 0.3462 0.0618 0.1924
N 0.4770 0.7500 0.4543
N 0.6538 0.5618 0.8076
N 0.6538 0.9382 0.8076
N 0.3462 0.4382 0.1924
N 0.5230 0.2500 0.5457
Y 0.8484 0.7500 0.1968
Y 0.1516 0.2500 0.8032
C 0.4134 0.2500 0.3268
C 0.5866 0.7500 0.6732
CELL_PARAMETERS angstrom
3.3813 0.0000 -0.8767
0.0000 5.6725 0.0000
-0.1541 0.0000 6.3592
```